# 1
Density functional theory data (PBE) for Bi4S3N2 after structural relaxation.

a = 14.0539 Å, b = 3.8861 Å, c = 9.3346 Å
α = 90.00°, β = 124.72°, γ = 90.00°
With the nearest neighbours (Å) after each atom.
Space group C2/m (No. 12)
Asymmetric unit:
Bi1 0.1207 0.0000 0.4147 (multiplicity 4)  3 N 2.28-2.35
Bi2 0.1819 0.5000 0.1144 (multiplicity 4)  1 N 2.24
S1 0.0000 0.0000 0.0000 (multiplicity 2)  6 Bi 2.89-3.22
S2 0.1492 0.5000 0.7254 (multiplicity 4)  2 Bi 2.76
N1 0.1886 0.5000 0.3600 (multiplicity 4)  4 Bi 2.24-2.35

Calculated values
The calculation puts the uncorrected formation energy at -0.02 eV per formula unit. The energy relative to the lowest polymorph listed for this composition comes out at 0 kJ/mol of formula units.


# 2
Density functional theory data (PBE) for CrAu after structural relaxation.

a = 10.9215 Å, b = 2.9210 Å, c = 5.9743 Å
α = 90.00°, β = 105.08°, γ = 90.00°
With the nearest neighbours (Å) after each atom.
Space group Cm (No. 8)
Asymmetric unit:
Cr1 0.0000 0.0000 0.0000 (multiplicity 2)  3 Cr 2.24-2.35
Cr2 0.0180 0.0000 0.6345 (multiplicity 2)  3 Cr 2.24-2.33
Cr3 0.1458 0.5000 0.8982 (multiplicity 2)  4 Cr 2.33-2.35
Au1 0.1353 0.5000 0.3624 (multiplicity 2)  5 Cr 2.71-2.81, 7 Au 2.88-3.02
Au2 0.3155 0.0000 0.7144 (multiplicity 2)  6 Cr 2.70-2.80, 6 Au 2.88-3.02
Au3 0.3490 0.0000 0.2323 (multiplicity 2)  6 Cr 2.82-3.00, 7 Au 2.92-3.02

Calculated values
The calculation puts the energy of formation from the pure elements at 0.232 eV/atom.


# 3
Density functional theory data (PBE) for CaPCl2 after structural relaxation.

a = 3.3247 Å, b = 3.3247 Å, c = 10.4984 Å
α = 90.00°, β = 90.00°, γ = 90.00°
With the nearest neighbours (Å) after each atom.
Space group P4/mmm (No. 123)
Asymmetric unit:
Ca1 0.0000 0.0000 0.0000 (multiplicity 1)  8 Cl 2.84
P1 0.0000 0.0000 0.5000 (multiplicity 1)  4 P 3.32
Cl1 0.5000 0.5000 0.1513 (multiplicity 2)  4 Ca 2.84, 1 Cl 3.18

Calculated values
The calculation puts the uncorrected formation energy at -3.45 eV per formula unit. The energy relative to the lowest polymorph listed for this composition comes out at 76 kJ/mol of formula units.


# 4
Density functional theory data (PBE) for SmPaAu4 after structural relaxation.

a = 5.3833 Å, b = 9.2123 Å, c = 5.3915 Å
α = 90.00°, β = 90.00°, γ = 90.00°
With the nearest neighbours (Å) after each atom.
Space group Cmmm (No. 65)
Asymmetric unit:
Sm1 0.0000 0.0000 0.0000 (multiplicity 2)  10 Au 3.08-3.11
Pa1 0.0000 0.5000 0.5000 (multiplicity 2)  10 Au 3.06-3.10
Au1 0.0000 0.1674 0.5000 (multiplicity 4)  3 Pa 3.06-3.10, 5 Au 3.08-3.10, 2 Sm 3.11
Au2 0.0000 0.3342 0.0000 (multiplicity 4)  5 Au 3.06-3.11, 3 Sm 3.08-3.09, 2 Pa 3.10

Calculated values
The calculation puts the energy of formation from the pure elements at -0.594 eV/atom.


# 5
Density functional theory data (PBE) for LiFeRe after structural relaxation.

a = 4.1072 Å, b = 4.1072 Å, c = 2.5284 Å
α = 90.00°, β = 90.00°, γ = 120.00°
With the nearest neighbours (Å) after each atom.
Space group P3m1 (No. 156)
Asymmetric unit:
Li1 0.0000 0.0000 0.0000 (multiplicity 1)  3 Fe 2.50, 2 Li 2.53, 3 Re 2.58
Fe1 0.3333 0.6667 0.6906 (multiplicity 1)  3 Re 2.48, 3 Li 2.50, 2 Fe 2.53
Re1 0.6667 0.3333 0.3997 (multiplicity 1)  3 Fe 2.48, 2 Re 2.53, 3 Li 2.58

Calculated values
The energy relative to the lowest polymorph listed for this composition comes out at 0 kJ/mol of formula units. The calculation puts the energy of formation from the pure elements at 0.230 eV/atom.


# 6
Density functional theory data (PBE) for BaNiCl2 after structural relaxation.

a = 3.8814 Å, b = 5.7718 Å, c = 8.3000 Å
α = 90.00°, β = 90.00°, γ = 90.00°
With the nearest neighbours (Å) after each atom.
Space group Immm (No. 71)
Asymmetric unit:
Ba1 0.0000 0.0000 0.0000 (multiplicity 2)  8 Cl 3.26, 4 Ni 3.48
Ni1 0.0000 0.0000 0.5000 (multiplicity 2)  4 Cl 2.47
Cl1 0.0000 0.5000 0.1839 (multiplicity 4)  2 Ni 2.47

Calculated values
The calculation puts the uncorrected formation energy at -4.16 eV per formula unit. The energy relative to the lowest polymorph listed for this composition comes out at 95 kJ/mol of formula units.


Number 1: magnetization 0.00 μB/cell, total energy -89.15 eV per cell. Number 2: magnetization 1.49 μB/cell, total energy -74.62 eV per cell. Number 3: magnetization 1.22 μB/cell, total energy -14.56 eV per cell. Number 4: magnetization 1.37 μB/cell, total energy -61.78 eV per cell. Number 5: magnetization 0.95 μB/cell, total energy -22.13 eV per cell. Number 6: magnetization 0.43 μB/cell, total energy -31.12 eV per cell.